VASP calculation (PBE-GGA) on a relaxed LiPrZn crystal.

The structure belongs to space group I4mm (No. 107); the cell edges are 3.7649, 3.7649 and 9.7919 Å and the angles 90.00°, 90.00° and 90.00°. Symmetry generates all atoms from Li at (0.0000, 0.0000, 0.0000), Pr at (0.0000, 0.0000, 0.6950) and Zn at (0.0000, 0.0000, 0.3676).

The value obtained for the energy above the most stable polymorph in this dataset is 76 meV per atom.

---

VASP calculation (PBE-GGA) on a relaxed Li3PrZn2 crystal.

The structure belongs to space group C2/m (No. 12); the cell edges are 13.1687, 4.6918 and 8.8858 Å and the angles 90.00°, 119.80° and 90.00°. Symmetry generates all atoms from Li at (0.0481, 0.0000, 0.3732), Li at (0.0756, 0.5000, 0.6821), Li at (0.2055, 0.5000, 0.5163), Pr at (0.1473, 0.0000, 0.0355), Zn at (0.0590, 0.5000, 0.1748) and Zn at (0.2029, 0.0000, 0.7168).

---

VASP calculation (PBE-GGA) on a relaxed LiPr2Zn2 crystal.

The structure belongs to space group C2/m (No. 12); the cell edges are 9.4866, 4.9910 and 11.0677 Å and the angles 90.00°, 114.64° and 90.00°. Symmetry generates all atoms from Li at (0.1771, 0.0000, 0.3810), Pr at (0.1074, 0.5000, 0.9020), Pr at (0.1757, 0.0000, 0.6848), Zn at (0.0525, 0.5000, 0.4110) and Zn at (0.0903, 0.0000, 0.1254).

---

VASP calculation (PBE-GGA) on a relaxed Li2Pr3Zn7 crystal.

The structure belongs to space group R-3m (No. 166, hexagonal axes); the cell edges are 5.5492, 5.5492 and 26.7105 Å and the angles 90.00°, 90.00° and 120.00°. Symmetry generates all atoms from Li at (0.0000, 0.0000, 0.1671), Pr at (0.0000, 0.0000, 0.3620), Pr at (0.0000, 0.0000, 0.5000), Zn at (0.0000, 0.0000, 0.0000) and Zn at (0.0004, 0.5002, 0.4192).

---

VASP calculation (PBE-GGA) on a relaxed LiPr8Zn2 crystal.

The structure belongs to space group C2/m (No. 12); the cell edges are 18.5467, 5.2558 and 7.2334 Å and the angles 90.00°, 105.71° and 90.00°. Symmetry generates all atoms from Li at (0.0000, 0.0000, 0.0000), Pr at (0.0289, 0.5000, 0.7642), Pr at (0.0917, 0.0000, 0.4668), Pr at (0.1677, 0.0000, 0.9683), Pr at (0.1948, 0.5000, 0.3101) and Zn at (0.1879, 0.5000, 0.7202).

---

VASP calculation (PBE-GGA) on a relaxed LiPr4Zn2 crystal.

The structure belongs to space group R-3m (No. 166, hexagonal axes); the cell edges are 5.2351, 5.2351 and 25.2260 Å and the angles 90.00°, 90.00° and 120.00°. Symmetry generates all atoms from Li at (0.0000, 0.0000, 0.0000), Pr at (0.0000, 0.0000, 0.1309), Pr at (0.0000, 0.0000, 0.3828) and Zn at (0.0000, 0.0000, 0.2565).

The value obtained for the energy above the most stable polymorph in this dataset is 0 meV per atom.

---

VASP calculation (PBE-GGA) on a relaxed LiPrZn crystal.

The structure belongs to space group Ima2 (No. 46); the cell edges are 9.5616, 12.3664 and 7.1501 Å and the angles 90.00°, 90.00° and 90.00°. Symmetry generates all atoms from Li at (0.0000, 0.0000, 0.0000), Li at (0.0001, 0.1138, 0.6587), Pr at (0.2500, 0.0000, 0.3434), Pr at (0.2500, 0.2142, 0.9868), Pr at (0.2500, 0.7145, 0.4873), Zn at (0.0001, 0.1664, 0.2728) and Zn at (0.2500, 0.9997, 0.7722).

The value obtained for the energy above the most stable polymorph in this dataset is 0 meV per atom.

---

VASP calculation (PBE-GGA) on a relaxed Li3Pr2Zn2 crystal.

The structure belongs to space group Cmmm (No. 65); the cell edges are 4.5904, 21.6041 and 3.4468 Å and the angles 90.00°, 90.00° and 90.00°. Symmetry generates all atoms from Li at (0.0000, 0.0000, 0.0000), Li at (0.0000, 0.4308, 0.5000), Pr at (0.0000, 0.1618, 0.0000) and Zn at (0.0000, 0.2838, 0.5000).

---

In the order shown, the computed calculated formation energy values come out to -0.3, -0.8, -1.0, -3.1, -0.6, -0.4, -0.5, -0.7 eV/f.u..
In the order shown, the computed D(E_F) values come out to 0.334, 0.641, 0.658, 0.617, 1.041, 1.485, 0.841, 0.966 states/eV per atom.